1.
VASP calculation (SCAN) on a PBEsol-optimized structure of CrPtBr.

Cell: 3.3856 3.3856 5.6578 Å, 90.00 90.00 120.00°
With the nearest neighbours (Å) after each atom.
Positions (direct):
Br  0.0000  0.0000  0.9455  3 Cr 2.54
Cr  0.3333  0.6667  0.6578  3 Pt 2.45, 3 Br 2.54
Pt  0.6667  0.3333  0.3966  3 Cr 2.45

Output
**E_tot**: -36.30 eV per atom
**Symmetry**: No. 156
**ΔE_f (raw)**: -0.287 eV/atom

---

2.
VASP calculation (SCAN) on a PBEsol-optimized structure of AsPb2Au.

Cell: 4.1683 4.1652 5.7897 Å, 90.01 90.00 90.00°
With the nearest neighbours (Å) after each atom.
Positions (direct):
As  0.5000  0.5000  0.0000  6 Pb 2.89-2.95
Au  0.0000  0.0000  0.5000  6 Pb 2.89-2.95
Pb  0.5000  0.5000  0.5000  2 As 2.89, 4 Au 2.95
Pb  0.0000  0.0000  0.0000  2 Au 2.89, 4 As 2.95

Output
**E_tot**: -60.21 eV per atom
**Symmetry**: No. 123
**E_form**: 18 meV per atom
**D(E_F)**: 2.16 states/eV/cell

---

3.
VASP calculation (SCAN) on a PBEsol-optimized structure of CaMnZn.

Cell: 3.7042 4.4239 4.4239 Å, 120.00 90.00 90.00°
With the nearest neighbours (Å) after each atom.
Positions (direct):
Zn  0.5000  0.6667  0.3333  3 Mn 2.55
Ca  0.0000  0.0000  0.0000  6 Zn 3.15, 6 Mn 3.15
Mn  0.5000  0.3333  0.6667  3 Zn 2.55

Output
**E_tot**: -13.86 eV per atom
**Symmetry**: No. 187
**E_form**: -46 meV per atom
**D(E_F)**: 1.94 states/eV/cell